# 1
Crystalline AlPAu at its relaxed geometry, computed with PBE.

The structure belongs to space group Imm2 (No. 44); the cell edges are 2.741, 3.371 and 10.959 Å and the angles 90.00°, 90.00° and 90.00°. The inequivalent atoms are Al at (0.000, 0.000, 0.000), P at (0.000, 0.000, 0.635) and Au at (0.000, 0.000, 0.340).

The formation energy is 0.09 eV per atom. The density of states at the Fermi level is 2.19 states/eV per cell. The energy relative to the lowest polymorph listed for this composition comes out at 188.2 meV per atom. The total energy comes out at -4.051 eV per atom.

# 2
Crystalline Al2PAu at its relaxed geometry, computed with PBE.

The structure belongs to space group I4mm (No. 107); the cell edges are 3.529, 3.529 and 11.461 Å and the angles 90.00°, 90.00° and 90.00°. The inequivalent atoms are Al at (0.000, 0.000, 0.000), Al at (0.000, 0.000, 0.333), P at (0.000, 0.000, 0.545) and Au at (0.000, 0.000, 0.768).

The formation energy is -0.33 eV per atom. The density of states at the Fermi level is 0.82 states/eV per cell. The total energy comes out at -4.369 eV per atom.

# 3
Crystalline AlPAu2 at its relaxed geometry, computed with PBE.

The structure belongs to space group R-3m (No. 166, hexagonal axes); the cell edges are 3.2513, 3.2513 and 22.8375 Å and the angles 90.00°, 90.00° and 120.00°. The inequivalent atoms are Al at (0.0000, 0.0000, 0.0000), P at (0.0000, 0.0000, 0.5000) and Au at (0.0000, 0.0000, 0.2497).

The formation energy is 0.01 eV per atom. The density of states at the Fermi level is 3.42 states/eV per cell. The energy relative to the lowest polymorph listed for this composition comes out at 77.2 meV per atom. The total energy comes out at -3.917 eV per atom.

# 4
Crystalline Al3PAu at its relaxed geometry, computed with PBE.

The structure belongs to space group Pm-3m (No. 221); the cell edges are 4.801, 4.801 and 4.801 Å and the angles 90.00°, 90.00° and 90.00°. The inequivalent atoms are Al at (0.000, 0.000, 0.500), P at (0.500, 0.500, 0.500) and Au at (0.000, 0.000, 0.000).

The formation energy is 0.39 eV per atom. The density of states at the Fermi level is 4.10 states/eV per cell. The energy relative to the lowest polymorph listed for this composition comes out at 30.8 meV per atom. The total energy comes out at -3.596 eV per atom.

# 5
Crystalline AlPAu at its relaxed geometry, computed with PBE.

The structure belongs to space group P3m1 (No. 156); the cell edges are 3.7451, 3.7451 and 4.4084 Å and the angles 90.00°, 90.00° and 120.00°. The inequivalent atoms are Al at (0.0000, 0.0000, 0.0000), P at (0.6667, 0.3333, 0.7483) and Au at (0.3333, 0.6667, 0.3731).

The formation energy is -0.10 eV per atom. The density of states at the Fermi level is 0.57 states/eV per cell. The energy relative to the lowest polymorph listed for this composition comes out at 0.0 meV per atom. The total energy comes out at -4.239 eV per atom.

# 6
Crystalline AlPAu2 at its relaxed geometry, computed with PBE.

The structure belongs to space group I-42d (No. 122); the cell edges are 4.398, 4.398 and 15.879 Å and the angles 90.00°, 90.00° and 90.00°. The inequivalent atoms are Al at (0.000, 0.000, 0.000), P at (0.000, 0.000, 0.500) and Au at (0.233, 0.250, 0.625).

The formation energy is -0.02 eV per atom. The density of states at the Fermi level is 6.97 states/eV per cell. The energy relative to the lowest polymorph listed for this composition comes out at 47.8 meV per atom. The total energy comes out at -3.946 eV per atom.